1.
The following is a PBEsol calculation of Mg2WF after structural relaxation, from the Alexandria database.

Properties
Space group: No. 225

Cell and atoms, written as POSCAR:
```
Mg2WF
1.0
6.5275 0.0000 0.0000
0.0000 6.5275 0.0000
0.0000 0.0000 6.5275
Mg W F
8 4 4
Direct
0.2500 0.2500 0.2500
0.2500 0.2500 0.7500
0.2500 0.7500 0.2500
0.2500 0.7500 0.7500
0.7500 0.2500 0.2500
0.7500 0.2500 0.7500
0.7500 0.7500 0.2500
0.7500 0.7500 0.7500
0.0000 0.0000 0.0000
0.0000 0.5000 0.5000
0.5000 0.0000 0.5000
0.5000 0.5000 0.0000
0.0000 0.0000 0.5000
0.0000 0.5000 0.0000
0.5000 0.0000 0.0000
0.5000 0.5000 0.5000
```

=====

2.
The following is a PBEsol calculation of MgZn3F after structural relaxation, from the Alexandria database.

Properties
Space group: No. 221

Cell and atoms, written as POSCAR:
```
MgZn3F
1.0
4.4069 0.0000 0.0000
0.0000 4.4069 0.0000
0.0000 0.0000 4.4069
Mg Zn F
1 3 1
Direct
0.0000 0.0000 0.0000
0.0000 0.5000 0.5000
0.5000 0.0000 0.5000
0.5000 0.5000 0.0000
0.5000 0.5000 0.5000
```

=====

3.
The following is a PBEsol calculation of MgZr2ZnF after structural relaxation, from the Alexandria database.

Properties
Space group: No. 123

Cell and atoms, written as POSCAR:
```
MgZr2ZnF
1.0
5.1137 0.0000 0.0000
0.0000 5.1137 0.0000
0.0000 0.0000 4.4337
Mg Zr Zn F
1 2 1 1
Direct
0.0000 0.0000 0.0000
0.0000 0.5000 0.0000
0.5000 0.0000 0.0000
0.0000 0.0000 0.5000
0.5000 0.5000 0.5000
```

=====

4.
The following is a PBEsol calculation of Mg2Zr2F after structural relaxation, from the Alexandria database.

Properties
Space group: No. 139

Cell and atoms, written as POSCAR:
```
Mg2Zr2F
1.0
3.7618 0.0000 0.0000
0.0000 3.7618 0.0000
0.0000 0.0000 16.6332
Mg Zr F
4 4 2
Direct
0.0000 0.0000 0.0942
0.0000 0.0000 0.9058
0.5000 0.5000 0.4058
0.5000 0.5000 0.5942
0.0000 0.5000 0.2500
0.0000 0.5000 0.7500
0.5000 0.0000 0.2500
0.5000 0.0000 0.7500
0.0000 0.0000 0.5000
0.5000 0.5000 0.0000
```

=====

5.
The following is a PBEsol calculation of MnF2 after structural relaxation, from the Alexandria database.

Properties
Space group: No. 136

Cell and atoms, written as POSCAR:
```
MnF2
1.0
4.8635 0.0000 0.0000
0.0000 4.8635 0.0000
0.0000 0.0000 3.2963
Mn F
2 4
Direct
0.0000 0.0000 0.0000
0.5000 0.5000 0.5000
0.1950 0.1950 0.5000
0.3050 0.6950 0.0000
0.6950 0.3050 0.0000
0.8050 0.8050 0.5000
```

=====

6.
The following is a PBEsol calculation of Mn7F16 after structural relaxation, from the Alexandria database.

Properties
Space group: No. 148

Cell and atoms, written as POSCAR:
```
Mn7F16
1.0
3.2281 1.8637 8.5474
-3.2281 1.8637 8.5474
0.0000 -3.7275 8.5474
Mn F
7 16
Direct
0.0000 0.0000 0.0000
0.1100 0.7495 0.4799
0.2505 0.5201 0.8900
0.4799 0.1100 0.7495
0.5201 0.8900 0.2505
0.7495 0.4799 0.1100
0.8900 0.2505 0.5201
0.0367 0.8087 0.2854
0.1404 0.8417 0.6017
0.1583 0.3983 0.8596
0.1913 0.7146 0.9633
0.2346 0.2346 0.2346
0.2854 0.0367 0.8087
0.3983 0.8596 0.1583
0.4306 0.4306 0.4306
0.5694 0.5694 0.5694
0.6017 0.1404 0.8417
0.7146 0.9633 0.1913
0.7654 0.7654 0.7654
0.8087 0.2854 0.0367
0.8417 0.6017 0.1404
0.8596 0.1583 0.3983
0.9633 0.1913 0.7146
```

=====

7.
The following is a PBEsol calculation of Mn7F18 after structural relaxation, from the Alexandria database.

Properties
Space group: No. 2

Cell and atoms, written as POSCAR:
```
Mn7F18
1.0
5.6504 0.0000 0.0000
2.8185 7.2797 0.0000
2.4804 2.4415 8.3015
Mn F
7 18
Direct
0.0000 0.0000 0.0000
0.1148 0.4191 0.6669
0.2290 0.8902 0.3764
0.4444 0.7192 0.7210
0.5556 0.2808 0.2790
0.7710 0.1098 0.6236
0.8852 0.5809 0.3331
0.0725 0.6631 0.4587
0.1428 0.9057 0.6107
0.1651 0.1796 0.8415
0.2219 0.9323 0.1526
0.2331 0.4630 0.2323
0.2331 0.7996 0.9145
0.2950 0.5237 0.7564
0.3973 0.0876 0.3275
0.4430 0.3022 0.5307
0.5570 0.6978 0.4693
0.6027 0.9124 0.6725
0.7050 0.4763 0.2436
0.7669 0.2004 0.0855
0.7669 0.5370 0.7677
0.7781 0.0677 0.8474
0.8349 0.8204 0.1585
0.8572 0.0943 0.3893
0.9275 0.3369 0.5413
```

=====

8.
The following is a PBEsol calculation of Mn3F8 after structural relaxation, from the Alexandria database.

Properties
Space group: No. 9

Cell and atoms, written as POSCAR:
```
Mn3F8
1.0
3.3028 -5.7793 0.0000
3.3028 5.7793 0.0000
-1.8503 0.0000 8.1994
Mn F
6 16
Direct
0.0756 0.3941 0.5150
0.0776 0.9224 0.5000
0.3941 0.0756 0.0150
0.5533 0.8970 0.5883
0.8970 0.5533 0.0883
0.9224 0.0776 0.0000
0.0110 0.3720 0.9527
0.1150 0.9560 0.8662
0.1893 0.6934 0.6445
0.2140 0.2174 0.6364
0.2174 0.2140 0.1364
0.2469 0.8116 0.1075
0.3443 0.5644 0.4309
0.3720 0.0110 0.4527
0.5644 0.3443 0.9309
0.6372 0.9448 0.8431
0.6934 0.1893 0.1445
0.7971 0.8081 0.5760
0.8081 0.7971 0.0760
0.8116 0.2469 0.6075
0.9448 0.6372 0.3431
0.9560 0.1150 0.3662
```

=====

How do the records compare in energy relative to the elements, uncorrected? In the order shown, they have 0.668; -0.166; 0.900; -0.046; -2.234; -2.282; -2.345; -2.266 eV/atom.
How do the records compare in raw total energy? In the order shown, they have -4.124; -1.844; -3.781; -4.754; -6.773; -6.593; -6.466; -6.330 eV/atom.